Record 1
La3Zn3Si after structural relaxation. Source: the Alexandria database, functional GGA-PBE.

a b c (Å): 4.190 4.323 19.801
angles (deg): 90.00 90.00 90.00
Element x y z (fractional)
La1 0.000 0.000 0.000
La2 0.000 0.000 0.371
La3 0.000 0.500 0.195
La4 0.500 0.000 0.695
La5 0.500 0.500 0.500
La6 0.500 0.500 0.871
Zn1 0.000 0.000 0.553
Zn2 0.000 0.000 0.823
Zn3 0.000 0.500 0.625
Zn4 0.500 0.000 0.125
Zn5 0.500 0.500 0.053
Zn6 0.500 0.500 0.323
Si1 0.000 0.500 0.751
Si2 0.500 0.000 0.251

Its space group is Imm2. Its total energy is -3.836 eV per atom. The calculation puts the formation energy (no corrections) at -404 meV per atom. For the density of states at the Fermi level, the calculation gives 15.000 states/eV/cell.



Record 2
LaZn3Si3 after structural relaxation. Source: the Alexandria database, functional GGA-PBE.

a b c (Å): 6.688 6.688 6.688
angles (deg): 90.00 90.00 90.00
Element x y z (fractional)
La1 0.000 0.000 0.000
La2 0.500 0.500 0.500
Zn1 0.000 0.250 0.500
Zn2 0.000 0.750 0.500
Zn3 0.250 0.500 0.000
Zn4 0.500 0.000 0.250
Zn5 0.500 0.000 0.750
Zn6 0.750 0.500 0.000
Si1 0.000 0.500 0.250
Si2 0.000 0.500 0.750
Si3 0.250 0.000 0.500
Si4 0.500 0.250 0.000
Si5 0.500 0.750 0.000
Si6 0.750 0.000 0.500

Its space group is Pm-3n. Its total energy is -3.498 eV per atom. The calculation puts the formation energy (no corrections) at 76 meV per atom. For the density of states at the Fermi level, the calculation gives 5.698 states/eV/cell.



Record 3
LaZnSi2 after structural relaxation. Source: the Alexandria database, functional GGA-PBE.

a b c (Å): 3.819 4.043 10.943
angles (deg): 90.00 90.00 90.00
Element x y z (fractional)
La1 0.000 0.000 0.000
La2 0.500 0.500 0.500
Zn1 0.000 0.500 0.769
Zn2 0.500 0.000 0.269
Si1 0.000 0.000 0.623
Si2 0.000 0.500 0.268
Si3 0.500 0.000 0.768
Si4 0.500 0.500 0.123

Its space group is Imm2. Its total energy is -4.548 eV per atom. The calculation puts the formation energy (no corrections) at -286 meV per atom. For the density of states at the Fermi level, the calculation gives 3.071 states/eV/cell.



Which of these has the highest formation energy (no corrections)? LaZn3Si3



formation energy (no corrections) of number 1 (La3Zn3Si)? -404 meV per atom